1.
Below is a relaxed structure of TcBiB3, with properties calculated at the PBEsol level.

Summary:
Symmetry: Pm-3m, No. 221
V (Å³ per atom): 18.47
Magnetic moment (μB per cell): 2.99
E_tot (eV per atom): -4.1840
ΔH_f (0 K) (meV per atom): 3136

extended XYZ file:
```
5
Lattice="4.5203 0.0000 0.0000 0.0000 4.5203 0.0000 0.0000 0.0000 4.5203" Properties=species:S:1:pos:R:3 pbc="T T T"
Tc 0.0000 0.0000 0.0000
Bi 2.2602 2.2602 2.2602
B 0.0000 2.2602 2.2602
B 2.2602 0.0000 2.2602
B 2.2602 2.2602 0.0000
```

2.
Below is a relaxed structure of K2CaCrPb, with properties calculated at the PBEsol level.

Summary:
Symmetry: P4/mmm, No. 123
V (Å³ per atom): 43.05
Magnetic moment (μB per cell): 3.98
E_tot (eV per atom): -2.8885
ΔH_f (0 K) (meV per atom): 840

extended XYZ file:
```
5
Lattice="5.9986 0.0000 0.0000 0.0000 5.9986 0.0000 0.0000 0.0000 5.9820" Properties=species:S:1:pos:R:3 pbc="T T T"
K 0.0000 2.9993 0.0000
K 2.9993 0.0000 0.0000
Ca 0.0000 0.0000 2.9910
Cr 0.0000 0.0000 0.0000
Pb 2.9993 2.9993 2.9910
```

3.
Below is a relaxed structure of TeMo2Ru, with properties calculated at the PBEsol level.

Summary:
Symmetry: R-3m, No. 166
V (Å³ per atom): 16.31
Magnetic moment (μB per cell): 0.00
Formation energy (no corrections) (eV/atom): 0.47
E_tot (eV per atom): -8.8380

extended XYZ file:
```
4
Lattice="1.4771 0.8528 8.6304 -1.4771 0.8528 8.6304 0.0000 -1.7057 8.6304" Properties=species:S:1:pos:R:3 pbc="T T T"
Te 0.0000 0.0000 0.0000
Mo 0.0000 0.0000 6.3921
Mo 0.0000 0.0000 19.4992
Ru 0.0000 0.0000 12.9457
```

4.
Below is a relaxed structure of LiFeP2O, with properties calculated at the PBEsol level.

Summary:
Symmetry: P4/mmm, No. 123
V (Å³ per atom): 12.57
Magnetic moment (μB per cell): 3.02
Formation energy (no corrections) (eV/atom): 0.58
E_tot (eV per atom): -4.9748
Energy above the lowest structure with this stoichiometry (meV per atom): 756

extended XYZ file:
```
5
Lattice="4.4923 0.0000 0.0000 0.0000 4.4923 0.0000 0.0000 0.0000 3.1139" Properties=species:S:1:pos:R:3 pbc="T T T"
Li 0.0000 0.0000 0.0000
Fe 2.2461 2.2461 1.5570
P 0.0000 2.2461 0.0000
P 2.2461 0.0000 0.0000
O 0.0000 0.0000 1.5570
```

5.
Below is a relaxed structure of SiHgAu2, with properties calculated at the PBEsol level.

Summary:
Symmetry: Immm, No. 71
V (Å³ per atom): 18.45
Magnetic moment (μB per cell): 0.00
Formation energy (no corrections) (eV/atom): 0.17
E_tot (eV per atom): -3.3748
Energy above the lowest structure with this stoichiometry (meV per atom): 140

extended XYZ file:
```
4
Lattice="-1.4285 2.8356 4.5537 1.4285 -2.8356 4.5537 1.4285 2.8356 -4.5537" Properties=species:S:1:pos:R:3 pbc="T T T"
Si 0.0000 0.0000 0.0000
Hg 0.0000 0.0000 4.5537
Au 1.4285 0.0000 2.0370
Au 0.0000 2.8356 2.5167
```

6.
Below is a relaxed structure of Cs2PdF6, with properties calculated at the PBEsol level.

Summary:
Symmetry: Fm-3m, No. 225
V (Å³ per atom): 19.64
Magnetic moment (μB per cell): 0.00
Formation energy (no corrections) (eV/atom): -2.17
E_tot (eV per atom): -4.3298

extended XYZ file:
```
9
Lattice="0.0000 4.4547 4.4547 4.4547 0.0000 4.4547 4.4547 4.4547 0.0000" Properties=species:S:1:pos:R:3 pbc="T T T"
Cs 2.2273 2.2273 2.2273
Cs 6.6820 6.6820 6.6820
Pd 0.0000 0.0000 0.0000
F 4.4547 4.4547 1.9208
F 4.4547 1.9208 4.4547
F 6.9886 4.4547 4.4547
F 1.9208 4.4547 4.4547
F 4.4547 6.9886 4.4547
F 4.4547 4.4547 6.9886
```